Here is a geometry-optimized Tb2B3C4 structure from the Alexandria database. Energies are from PBE-GGA.

Unit cell a=4.5389 b=7.4198 c=6.2200 alpha=90.00 beta=111.40 gamma=90.00
With the nearest neighbours (Å) after each atom.
Element x y z (fractional)
C: 0.2401 0.8401 0.4802  2 B 1.56
C: 0.2032 0.7500 0.9063  1 B 1.64
C: 0.7032 0.7500 0.9063  1 B 1.64
C: 0.2599 0.3401 0.5198  2 B 1.56
C: 0.7599 0.1599 0.5198  2 B 1.56
C: 0.7401 0.6599 0.4802  2 B 1.56
C: 0.7968 0.2500 0.0937  1 B 1.64
C: 0.2968 0.2500 0.0937  1 B 1.64
B: 0.0616 0.7500 0.6232  3 C 1.56-1.64
B: 0.0000 0.0000 0.0000  4 C 2.24
B: 0.5000 0.5000 0.0000  4 C 2.24
B: 0.9384 0.2500 0.3768  3 C 1.56-1.64
B: 0.5616 0.7500 0.6232  3 C 1.56-1.64
B: 0.4384 0.2500 0.3768  3 C 1.56-1.64
Tb: 0.3746 0.0798 0.7492  4 C 2.34-2.62
Tb: 0.8746 0.4202 0.7492  4 C 2.34-2.62
Tb: 0.1254 0.5798 0.2508  4 C 2.34-2.62
Tb: 0.6254 0.9202 0.2508  4 C 2.34-2.62

Summary:
ΔH_f (0 K): 0.472 eV per atom
Total energy: -6.88 eV per atom
Space-group type: No. 64
V: 10.84 A^3/atom